## LiTbAsO (PBE)

Data for a geometry-optimized LiTbAsO structure.

The structure belongs to space group Pmc2_1 (No. 26); the cell edges are 3.513, 7.600 and 5.869 Å and the angles 90.00°, 90.00° and 90.00°. The inequivalent atoms are Li at (0.000, 0.067, 0.000), Tb at (0.500, 0.300, 0.352), As at (0.500, 0.318, 0.848) and O at (0.000, 0.143, 0.321).

For the uncorrected energy, the calculation gives -5.7724 eV per atom.

---

## CdIr (PBE)

Data for a geometry-optimized CdIr structure.

The structure belongs to space group F-43m (No. 216); the cell edges are 6.014, 6.014 and 6.014 Å and the angles 90.00°, 90.00° and 90.00°. The inequivalent atoms are Cd at (0.000, 0.000, 0.000) and Ir at (0.250, 0.250, 0.750).

For the uncorrected energy, the calculation gives -3.1531 eV per atom. The formation energy from the elements comes out at 1.72 eV per atom.

---

## KThInTe3 (PBE)

Data for a geometry-optimized KThInTe3 structure.

The structure belongs to space group Cmcm (No. 63); the cell edges are 4.513, 16.855 and 13.104 Å and the angles 90.00°, 90.00° and 90.00°. The inequivalent atoms are K at (0.000, 0.168, 0.250), Th at (0.000, 0.500, 0.000), In at (0.000, 0.136, 0.750), Te at (0.000, 0.127, 0.501) and Te at (0.000, 0.492, 0.250).

For the uncorrected energy, the calculation gives -4.3440 eV per atom.

---

## GdTlGa (PBE)

Data for a geometry-optimized GdTlGa structure.

The structure belongs to space group F-43m (No. 216); the cell edges are 6.838, 6.838 and 6.838 Å and the angles 90.00°, 90.00° and 90.00°. The inequivalent atoms are Gd at (0.000, 0.000, 0.000), Tl at (0.000, 0.000, 0.500) and Ga at (0.250, 0.250, 0.250).

For the uncorrected energy, the calculation gives -3.5936 eV per atom.

---

Question: Which of these has the lowest uncorrected energy?
Answer: LiTbAsO